MoIO2: optimized geometry, PBEsol.

It has space group R-3m (No. 166, hexagonal axes), with a = 3.1781 Å, b = 3.1781 Å, c = 28.4157 Å, α = 90.00°, β = 90.00° and γ = 120.00°. Symmetry generates all atoms from Mo at (0.0000, 0.0000, 0.0000), I at (0.0000, 0.0000, 0.5000) and O at (0.0000, 0.0000, 0.3650).

For the density of states at the Fermi level, the calculation gives 9.1 states/eV/cell. The polymorph energy (0 for the lowest one) comes out at 0.00 eV/f.u. The uncorrected formation energy is -4.125 eV/f.u. As for the theoretical density: 5.11 g cm⁻³.


ZrBiSe2Br: optimized geometry, PBEsol.

It has space group P4/mmm (No. 123), with a = 5.454 Å, b = 5.454 Å, c = 5.333 Å, α = 90.00°, β = 90.00° and γ = 90.00°. Symmetry generates all atoms from Zr at (0.000, 0.000, 0.000), Bi at (0.500, 0.500, 0.500), Se at (0.000, 0.500, 0.500) and Br at (0.500, 0.500, 0.000).

For the density of states at the Fermi level, the calculation gives 7.0 states/eV/cell. The uncorrected formation energy is 2.488 eV/f.u. As for the theoretical density: 5.63 g cm⁻³.


GaTeRhN2: optimized geometry, PBEsol.

It has space group P4/mmm (No. 123), with a = 3.836 Å, b = 3.836 Å, c = 5.554 Å, α = 90.00°, β = 90.00° and γ = 90.00°. Symmetry generates all atoms from Ga at (0.000, 0.000, 0.000), Te at (0.500, 0.500, 0.000), Rh at (0.500, 0.500, 0.500) and N at (0.000, 0.500, 0.500).

For the density of states at the Fermi level, the calculation gives 3.3 states/eV/cell. The uncorrected formation energy is 4.301 eV/f.u. As for the theoretical density: 6.67 g cm⁻³.


ErMo6S8: optimized geometry, PBEsol.

It has space group R-3 (No. 148, hexagonal axes), with a = 8.9370 Å, b = 8.9370 Å, c = 11.2229 Å, α = 90.00°, β = 90.00° and γ = 120.00°. Symmetry generates all atoms from Er at (0.0000, 0.0000, 0.0000), Mo at (0.0198, 0.8397, 0.4005), S at (0.0000, 0.0000, 0.2372) and S at (0.0061, 0.3826, 0.7510).

For the density of states at the Fermi level, the calculation gives 17.7 states/eV/cell. The uncorrected formation energy is -14.863 eV/f.u. As for the theoretical density: 6.41 g cm⁻³.


Y2BiAsAu: optimized geometry, PBEsol.

It has space group P4/mmm (No. 123), with a = 5.703 Å, b = 5.703 Å, c = 5.217 Å, α = 90.00°, β = 90.00° and γ = 90.00°. Symmetry generates all atoms from Y at (0.000, 0.500, 0.000), Bi at (0.000, 0.000, 0.000), As at (0.000, 0.000, 0.500) and Au at (0.500, 0.500, 0.500).

For the raw total energy, the calculation gives -4.850 eV/atom. For the density of states at the Fermi level, the calculation gives 3.7 states/eV/cell. As for the theoretical density: 6.45 g cm⁻³.


TlHg2Au: optimized geometry, PBEsol.

It has space group Imm2 (No. 44), with a = 3.316 Å, b = 4.541 Å, c = 12.738 Å, α = 90.00°, β = 90.00° and γ = 90.00°. Symmetry generates all atoms from Tl at (0.000, 0.000, 0.000), Hg at (0.000, 0.000, 0.391), Hg at (0.000, 0.500, 0.203) and Au at (0.000, 0.500, 0.701).

For the density of states at the Fermi level, the calculation gives 2.4 states/eV/cell. The polymorph energy (0 for the lowest one) comes out at 0.06 eV/f.u. As for the theoretical density: 13.90 g cm⁻³.


KMo2: optimized geometry, PBEsol.

It has space group C2/m (No. 12), with a = 9.140 Å, b = 3.078 Å, c = 12.096 Å, α = 90.00°, β = 103.92° and γ = 90.00°. Symmetry generates all atoms from K at (0.176, 0.000, 0.165), Mo at (0.002, 0.500, 0.382) and Mo at (0.171, 0.000, 0.554).

For the raw total energy, the calculation gives -7.365 eV/atom. For the density of states at the Fermi level, the calculation gives 11.5 states/eV/cell. As for the theoretical density: 4.64 g cm⁻³.


SmLuTl2: optimized geometry, PBEsol.

It has space group Fm-3m (No. 225), with a = 7.451 Å, b = 7.451 Å, c = 7.451 Å, α = 90.00°, β = 90.00° and γ = 90.00°. Symmetry generates all atoms from Sm at (0.000, 0.000, 0.000), Lu at (0.000, 0.000, 0.500) and Tl at (0.250, 0.250, 0.250).

For the raw total energy, the calculation gives -4.198 eV/atom. For the density of states at the Fermi level, the calculation gives 14.2 states/eV/cell. As for the theoretical density: 11.79 g cm⁻³.


Si2Rh3: optimized geometry, PBEsol.

It has space group P-3m1 (No. 164), with a = 3.9543 Å, b = 3.9543 Å, c = 5.0368 Å, α = 90.00°, β = 90.00° and γ = 120.00°. Symmetry generates all atoms from Si at (0.3333, 0.6667, 0.1978), Rh at (0.0000, 0.0000, 0.0000) and Rh at (0.3333, 0.6667, 0.6733).

For the density of states at the Fermi level, the calculation gives 1.1 states/eV/cell. The uncorrected formation energy is -4.291 eV/f.u. As for the theoretical density: 8.88 g cm⁻³.


CuPt2W: optimized geometry, PBEsol.

It has space group F-43m (No. 216), with a = 6.125 Å, b = 6.125 Å, c = 6.125 Å, α = 90.00°, β = 90.00° and γ = 90.00°. Symmetry generates all atoms from Cu at (0.000, 0.000, 0.000), Pt at (0.000, 0.000, 0.500), Pt at (0.250, 0.250, 0.250) and W at (0.250, 0.250, 0.750).

For the density of states at the Fermi level, the calculation gives 14.6 states/eV/cell. The polymorph energy (0 for the lowest one) comes out at 1.36 eV/f.u. As for the theoretical density: 18.43 g cm⁻³.


ZnIn2Sn2: optimized geometry, PBEsol.

It has space group I4/mmm (No. 139), with a = 4.988 Å, b = 4.988 Å, c = 11.561 Å, α = 90.00°, β = 90.00° and γ = 90.00°. Symmetry generates all atoms from Zn at (0.000, 0.000, 0.000), In at (0.000, 0.500, 0.250) and Sn at (0.000, 0.000, 0.381).

For the raw total energy, the calculation gives -2.930 eV/atom. For the density of states at the Fermi level, the calculation gives 3.6 states/eV/cell. As for the theoretical density: 6.15 g cm⁻³.


Cd3GaW: optimized geometry, PBEsol.

It has space group Pm-3m (No. 221), with a = 5.227 Å, b = 5.227 Å, c = 5.227 Å, α = 90.00°, β = 90.00° and γ = 90.00°. Symmetry generates all atoms from Cd at (0.000, 0.000, 0.500), Ga at (0.500, 0.500, 0.500) and W at (0.000, 0.000, 0.000).

For the raw total energy, the calculation gives -2.806 eV/atom. For the density of states at the Fermi level, the calculation gives 5.1 states/eV/cell. As for the theoretical density: 6.87 g cm⁻³.


RbNbCl2: optimized geometry, PBEsol.

It has space group Fm-3m (No. 225), with a = 7.236 Å, b = 7.236 Å, c = 7.236 Å, α = 90.00°, β = 90.00° and γ = 90.00°. Symmetry generates all atoms from Rb at (0.000, 0.000, 0.000), Nb at (0.000, 0.000, 0.500) and Cl at (0.250, 0.250, 0.250).

For the density of states at the Fermi level, the calculation gives 14.8 states/eV/cell. The polymorph energy (0 for the lowest one) comes out at 1.59 eV/f.u. The uncorrected formation energy is -0.533 eV/f.u. As for the theoretical density: 4.37 g cm⁻³.